Entry 1:
VASP calculation (PBE-GGA) on a relaxed ZrCd2Br crystal.

a = 3.4392 Å, b = 3.4392 Å, c = 28.2134 Å
α = 90.00°, β = 90.00°, γ = 120.00°
Space group R-3m (No. 166, hexagonal axes)
Asymmetric unit:
Zr (0.0000, 0.0000, 0.0000) x3
Cd (0.0000, 0.0000, 0.2478) x6
Br (0.0000, 0.0000, 0.5000) x3

Properties
* excess energy over the best structure of this formula in the dataset: 206 meV/atom
* DFT total energy: -3.14 eV per atom
* uncorrected formation energy: -0.51 eV/f.u.
* spin magnetization: 0.0 μB/f.u.
* Fermi-level density of states: 4.01 states/eV/f.u.
* mass density: 6.82 g cm⁻³

***

Entry 2:
VASP calculation (PBE-GGA) on a relaxed ZrCdBr crystal.

a = 15.869 Å, b = 3.386 Å, c = 5.863 Å
α = 90.00°, β = 90.00°, γ = 90.00°
Space group Amm2 (No. 38)
Asymmetric unit:
Zr (0.157, 0.000, 0.000) x4
Cd (0.000, 0.000, 0.334) x2
Cd (0.500, 0.000, 0.003) x2
Br (0.278, 0.000, 0.333) x4

Properties
* excess energy over the best structure of this formula in the dataset: 0 meV/atom
* DFT total energy: -4.21 eV per atom
* uncorrected formation energy: -1.48 eV/f.u.
* spin magnetization: 0.1 μB/f.u.
* Fermi-level density of states: 3.23 states/eV/f.u.
* mass density: 5.98 g cm⁻³

***

Entry 3:
VASP calculation (PBE-GGA) on a relaxed ZrCd2Br crystal.

a = 3.335 Å, b = 3.335 Å, c = 8.623 Å
α = 90.00°, β = 90.00°, γ = 90.00°
Space group P4/mmm (No. 123)
Asymmetric unit:
Zr (0.000, 0.000, 0.000) x1
Cd (0.500, 0.500, 0.241) x2
Br (0.000, 0.000, 0.500) x1

Properties
* excess energy over the best structure of this formula in the dataset: 249 meV/atom
* DFT total energy: -3.10 eV per atom
* uncorrected formation energy: -0.33 eV/f.u.
* spin magnetization: 0.2 μB/f.u.
* Fermi-level density of states: 4.32 states/eV/f.u.
* mass density: 6.86 g cm⁻³